Record 1
Here is a geometry-optimized ZrTa structure from the Alexandria database. Energies are from PBE.

Results
- calculated formation energy (kJ/mol of formula units) = 88
- raw total energy (eV per atom) = -9.7462
- total magnetization (μB per formula unit) = 0.0

Unit cell a=8.233 b=8.233 c=5.235 alpha=90.00 beta=90.00 gamma=90.00
Space group P4/m (No. 83)
One atom of each set of equivalent atoms:
Zr1 0.065 0.317 0.000 x4
Zr2 0.092 0.738 0.500 x4
Ta1 0.262 0.428 0.500 x4
Ta2 0.288 0.601 0.000 x4


Record 2
Here is a geometry-optimized ZrTa structure from the Alexandria database. Energies are from PBE.

Results
- calculated formation energy (kJ/mol of formula units) = 19
- raw total energy (eV per atom) = -10.1013
- total magnetization (μB per formula unit) = 0.0

Unit cell a=3.403 b=4.837 c=9.952 alpha=90.00 beta=90.00 gamma=90.00
Space group Cmme (No. 67)
One atom of each set of equivalent atoms:
Zr1 0.000 0.250 0.143 x4
Ta1 0.000 0.250 0.611 x4


Record 3
Here is a geometry-optimized Zr4Ta5 structure from the Alexandria database. Energies are from PBE.

Results
- calculated formation energy (kJ/mol of formula units) = 112
- raw total energy (eV per atom) = -10.2544
- total magnetization (μB per formula unit) = 0.0

Unit cell a=10.312 b=10.312 c=3.414 alpha=90.00 beta=90.00 gamma=90.00
Space group I4/mmm (No. 139)
One atom of each set of equivalent atoms:
Zr1 0.000 0.319 0.000 x8
Ta1 0.000 0.000 0.000 x2
Ta2 0.165 0.165 0.500 x8


Record 4
Here is a geometry-optimized Zr5Ta3 structure from the Alexandria database. Energies are from PBE.

Results
- calculated formation energy (kJ/mol of formula units) = 137
- raw total energy (eV per atom) = -9.6099
- total magnetization (μB per formula unit) = 0.0

Unit cell a=7.061 b=9.781 c=4.856 alpha=90.00 beta=90.00 gamma=90.00
Space group Cmmm (No. 65)
One atom of each set of equivalent atoms:
Zr1 0.000 0.000 0.000 x2
Zr2 0.228 0.500 0.500 x4
Zr3 0.250 0.250 0.000 x4
Ta1 0.000 0.236 0.500 x4
Ta2 0.000 0.500 0.000 x2


Record 5
Here is a geometry-optimized ZrTa structure from the Alexandria database. Energies are from PBE.

Results
- calculated formation energy (kJ/mol of formula units) = 142
- raw total energy (eV per atom) = -9.4628
- total magnetization (μB per formula unit) = 0.0

Unit cell a=11.600 b=11.600 c=2.935 alpha=90.00 beta=90.00 gamma=90.00
Space group I4/m (No. 87)
One atom of each set of equivalent atoms:
Zr1 0.057 0.658 0.000 x8
Ta1 0.152 0.209 0.000 x8


Record 6
Here is a geometry-optimized ZrTa2 structure from the Alexandria database. Energies are from PBE.

Results
- calculated formation energy (kJ/mol of formula units) = 33
- raw total energy (eV per atom) = -10.6367
- total magnetization (μB per formula unit) = 0.0

Unit cell a=3.436 b=14.557 c=4.767 alpha=90.00 beta=90.00 gamma=90.00
Space group Cmcm (No. 63)
One atom of each set of equivalent atoms:
Zr1 0.000 0.079 0.250 x4
Ta1 0.000 0.254 0.750 x4
Ta2 0.000 0.397 0.250 x4